DFT (PBE with a Hubbard U) results for an optimized crystal structure of BaMn4Cu3O12.

## Properties
The total energy comes out at -6.42 eV per atom.

a b c (Å): 6.5170 6.5170 6.5170
angles (deg): 109.47 109.47 109.47
Closest atoms and distances in Å follow each position.
Atoms (fractional coordinates):
Ba 0.0000 0.0000 0.0000  12 O 2.74
Mn 0.5000 0.0000 0.0000  6 O 2.03
Mn 0.5000 0.5000 0.5000  6 O 2.03
Mn 0.0000 0.5000 0.0000  6 O 2.03
Mn 0.0000 0.0000 0.5000  6 O 2.03
Cu 0.0000 0.5000 0.5000  4 O 1.90
Cu 0.5000 0.5000 0.0000  4 O 1.90
Cu 0.5000 0.0000 0.5000  4 O 1.90
O 0.3189 0.8247 0.1436  1 Cu 1.90, 2 Mn 2.03
O 0.6811 0.1753 0.8564  1 Cu 1.90, 2 Mn 2.03
O 0.6811 0.8247 0.5058  1 Cu 1.90, 2 Mn 2.03
O 0.8564 0.6811 0.1753  1 Cu 1.90, 2 Mn 2.03
O 0.8247 0.1436 0.3189  1 Cu 1.90, 2 Mn 2.03
O 0.1753 0.4942 0.3189  1 Cu 1.90, 2 Mn 2.03
O 0.4942 0.3189 0.1753  1 Cu 1.90, 2 Mn 2.03
O 0.1753 0.8564 0.6811  1 Cu 1.90, 2 Mn 2.03
O 0.3189 0.1753 0.4942  1 Cu 1.90, 2 Mn 2.03
O 0.1436 0.3189 0.8247  1 Cu 1.90, 2 Mn 2.03
O 0.8247 0.5058 0.6811  1 Cu 1.90, 2 Mn 2.03
O 0.5058 0.6811 0.8247  1 Cu 1.90, 2 Mn 2.03